[1]
Density functional theory data (GGA-PBEsol) for a relaxed structure of MgSb2Cl.

It has space group I4/mmm (No. 139), with a = 5.894 Å, b = 5.894 Å, c = 5.896 Å, α = 90.00°, β = 90.00° and γ = 90.00°. The distinct sites, in fractional coordinates, are Mg at (0.000, 0.000, 0.000), Sb at (0.000, 0.500, 0.000) and Cl at (0.000, 0.000, 0.500).

The value obtained for the relative energy among the computed polymorphs is 0.229 eV per atom. As for the formation energy without anion corrections: -0.26 eV/atom. For the magnetic moment, the calculation gives 0.00 Bohr magnetons per cell. As for the total energy: -3.4741 eV per atom.


[2]
Density functional theory data (GGA-PBEsol) for a relaxed structure of BiPAuO2.

It has space group P4/mmm (No. 123), with a = 4.115 Å, b = 4.115 Å, c = 4.721 Å, α = 90.00°, β = 90.00° and γ = 90.00°. The distinct sites, in fractional coordinates, are Bi at (0.000, 0.000, 0.000), P at (0.500, 0.500, 0.000), Au at (0.500, 0.500, 0.500) and O at (0.000, 0.500, 0.500).

As for the formation energy without anion corrections: 0.21 eV/atom. For the magnetic moment, the calculation gives 0.00 Bohr magnetons per cell. As for the total energy: -4.6855 eV per atom.


[3]
Density functional theory data (GGA-PBEsol) for a relaxed structure of POs.

It has space group Pmmn (No. 59, origin choice 2), with a = 2.879 Å, b = 3.656 Å, c = 4.993 Å, α = 90.00°, β = 90.00° and γ = 90.00°. The distinct sites, in fractional coordinates, are P at (0.250, 0.250, 0.170) and Os at (0.250, 0.250, 0.687).

The formation energy comes out at -0.088 eV/atom. For the magnetic moment, the calculation gives 0.00 Bohr magnetons per cell. As for the total energy: -9.0920 eV per atom.


[4]
Density functional theory data (GGA-PBEsol) for a relaxed structure of ZnSbI2N.

It has space group P4/mmm (No. 123), with a = 6.017 Å, b = 6.017 Å, c = 3.932 Å, α = 90.00°, β = 90.00° and γ = 90.00°. The distinct sites, in fractional coordinates, are Zn at (0.000, 0.000, 0.000), Sb at (0.500, 0.500, 0.500), I at (0.000, 0.500, 0.500) and N at (0.500, 0.500, 0.000).

The value obtained for the relative energy among the computed polymorphs is 0.000 eV per atom. As for the formation energy without anion corrections: 0.67 eV/atom. For the magnetic moment, the calculation gives 0.00 Bohr magnetons per cell. As for the total energy: -2.9748 eV per atom.


[5]
Density functional theory data (GGA-PBEsol) for a relaxed structure of RbTi2Os.

It has space group Fm-3m (No. 225), with a = 6.579 Å, b = 6.579 Å, c = 6.579 Å, α = 90.00°, β = 90.00° and γ = 90.00°. The distinct sites, in fractional coordinates, are Rb at (0.000, 0.000, 0.000), Ti at (0.250, 0.250, 0.250) and Os at (0.000, 0.000, 0.500).

The formation energy comes out at 1.014 eV/atom. For the magnetic moment, the calculation gives 0.00 Bohr magnetons per cell. As for the total energy: -6.4576 eV per atom.


[6]
Density functional theory data (GGA-PBEsol) for a relaxed structure of TaTlCr2.

It has space group C2/m (No. 12), with a = 5.571 Å, b = 8.640 Å, c = 2.762 Å, α = 90.00°, β = 111.26° and γ = 90.00°. The distinct sites, in fractional coordinates, are Ta at (0.000, 0.000, 0.000), Tl at (0.000, 0.500, 0.000) and Cr at (0.250, 0.250, 0.500).

The value obtained for the relative energy among the computed polymorphs is 0.238 eV per atom. The formation energy comes out at 0.706 eV/atom. For the magnetic moment, the calculation gives 0.00 Bohr magnetons per cell. As for the total energy: -8.2100 eV per atom.